[1]
The following is a DFT calculation (PBE-GGA) of crystalline AgSnTe3 at its relaxed geometry.

Lattice parameters (Å, degrees): 4.463 7.437 10.787 88.33 101.94 90.00
Atoms (fractional coordinates):
Te (0.357, 0.995, 0.715)
Te (0.643, 0.005, 0.285)
Te (0.203, 0.468, 0.406)
Te (0.983, 0.320, 0.965)
Te (0.017, 0.680, 0.035)
Te (0.797, 0.532, 0.594)
Ag (0.782, 0.920, 0.564)
Ag (0.218, 0.080, 0.436)
Sn (0.616, 0.633, 0.232)
Sn (0.384, 0.367, 0.768)

* crystal system: monoclinic
* uncorrected formation energy: -76 meV/atom
* E: -3.331 eV/atom

=====

[2]
The following is a DFT calculation (PBE-GGA) of crystalline AgSn4Te5 at its relaxed geometry.

Lattice parameters (Å, degrees): 4.436 4.436 16.074 97.93 97.93 90.00
Atoms (fractional coordinates):
Sn (0.403, 0.403, 0.806)
Sn (0.803, 0.803, 0.607)
Sn (0.197, 0.197, 0.393)
Sn (0.597, 0.597, 0.194)
Te (0.097, 0.097, 0.194)
Te (0.500, 0.500, 0.000)
Te (0.903, 0.903, 0.806)
Te (0.700, 0.700, 0.400)
Te (0.300, 0.300, 0.600)
Ag (0.000, 0.000, 0.000)

* crystal system: tetragonal
* uncorrected formation energy: -213 meV/atom
* E: -3.670 eV/atom

=====

[3]
The following is a DFT calculation (PBE-GGA) of crystalline Ag2SnTe at its relaxed geometry.

Lattice parameters (Å, degrees): 5.112 5.112 5.112 60.00 60.00 60.00
Atoms (fractional coordinates):
Te (0.500, 0.500, 0.500)
Sn (0.000, 0.000, 0.000)
Ag (0.250, 0.250, 0.250)
Ag (0.750, 0.750, 0.750)

* crystal system: cubic
* uncorrected formation energy: 156 meV/atom
* E: -3.056 eV/atom